Computed, not measured: crystalline TmZnHg at its relaxed geometry at the PBE level of DFT.

Calculated values
D(E_F): 1.78 states/eV/f.u.
Raw total energy: -13.6 eV/cell
Energy of formation: -0.2466 eV/atom
Crystal system: tetragonal

a b c (Å): 3.3802 3.3802 11.3813
angles (deg): 90.00 90.00 90.00
Space group I4mm (No. 107)
Inequivalent atoms, fractional coordinates:
Tm  0.0000  0.0000  0.0000 [2 per cell]
Zn  0.0000  0.0000  0.6653 [2 per cell]
Hg  0.0000  0.0000  0.3171 [2 per cell]